# GGA-PBE LaCe2Pb5, relaxed
# energy of formation	-402	meV per atom
data_LaCe2Pb5
_symmetry_space_group_name_H-M 'I 4 m m'
_symmetry_Int_Tables_number 107
_symmetry_space_group_name_Hall 'I 4 -2'
_cell_length_a 7.532
_cell_length_b 7.532
_cell_length_c 8.555
_cell_angle_alpha 90.00
_cell_angle_beta 90.00
_cell_angle_gamma 90.00
loop_
_atom_site_label
_atom_site_fract_x
_atom_site_fract_y
_atom_site_fract_z
_atom_site_occupancy
La1 0.000 0.000 0.000 1
Ce1 0.000 0.500 0.428 1
Pb1 0.000 0.000 0.413 1
Pb2 0.224 0.224 0.689 1

# GGA-PBE LiSmNb2N4, relaxed
# ΔE_f (raw)	-1.072	eV/atom
data_LiSmNb2N4
_symmetry_space_group_name_H-M 'C m c m'
_symmetry_Int_Tables_number 63
_symmetry_space_group_name_Hall '-C 2c 2'
_cell_length_a 3.269
_cell_length_b 10.494
_cell_length_c 10.658
_cell_angle_alpha 90.00
_cell_angle_beta 90.00
_cell_angle_gamma 90.00
loop_
_atom_site_label
_atom_site_fract_x
_atom_site_fract_y
_atom_site_fract_z
_atom_site_occupancy
Li1 0.000 0.160 0.250 1
Sm1 0.000 0.111 0.750 1
Nb1 0.000 0.375 0.551 1
N1 0.000 0.000 0.000 1
N2 0.000 0.270 0.111 1
N3 0.000 0.436 0.750 1

# GGA-PBE Ac2Zn3CdAg4, relaxed
# energy of formation	-245	meV per atom
data_Ac2Zn3CdAg4
_symmetry_space_group_name_H-M 'P -4 m 2'
_symmetry_Int_Tables_number 115
_cell_length_a 4.396
_cell_length_b 4.396
_cell_length_c 12.028
_cell_angle_alpha 90.00
_cell_angle_beta 90.00
_cell_angle_gamma 90.00
loop_
_symmetry_equiv_pos_as_xyz
'x,y,z'
'y,-x,-z'
'-x,-y,z'
'-y,x,-z'
'-x,y,z'
'-y,-x,-z'
'x,-y,z'
'y,x,-z'
loop_
_atom_site_label
_atom_site_fract_x
_atom_site_fract_y
_atom_site_fract_z
_atom_site_occupancy
Ac1 0.000 0.500 0.240 1
Zn1 0.000 0.500 0.870 1
Zn2 0.500 0.500 0.500 1
Cd1 0.000 0.000 0.500 1
Ag1 0.000 0.000 0.000 1
Ag2 0.000 0.500 0.648 1
Ag3 0.500 0.500 0.000 1

# GGA-PBE Ta2TiPtSe, relaxed
# ΔE_f (raw)	1.141	eV/atom
data_Ta2TiPtSe
_symmetry_space_group_name_H-M 'P 4/m m m'
_symmetry_Int_Tables_number 123
_symmetry_space_group_name_Hall '-P 4 2'
_cell_length_a 4.773
_cell_length_b 4.773
_cell_length_c 4.519
_cell_angle_alpha 90.00
_cell_angle_beta 90.00
_cell_angle_gamma 90.00
loop_
_atom_site_label
_atom_site_fract_x
_atom_site_fract_y
_atom_site_fract_z
_atom_site_occupancy
Ta1 0.000 0.500 0.000 1
Ti1 0.000 0.000 0.000 1
Pt1 0.500 0.500 0.500 1
Se1 0.000 0.000 0.500 1

Number 1: N(E_F) 14.1 states/eV/f.u.. Number 2: N(E_F) 1.4 states/eV/f.u.. Number 3: N(E_F) 4.6 states/eV/f.u.. Number 4: N(E_F) 6.2 states/eV/f.u..